# Hf2TcAg

An optimized crystal structure of Hf2TcAg (PBE, Alexandria via LeMat-Bulk).

The structure in POSCAR format:
```
Hf2TcAg
1.0
3.3198 0.0000 0.0000
0.0000 3.3198 0.0000
0.0000 0.0000 6.7896
Hf Tc Ag
2 1 1
Direct
0.0000 0.0000 0.2289 Hf
0.0000 0.0000 0.7711 Hf
0.5000 0.5000 0.0000 Tc
0.5000 0.5000 0.5000 Ag
```

The value obtained for the total energy is -8.589 eV per atom. The value obtained for the spin magnetization is 0.00 μB/f.u. The space group is No. 123. The value obtained for the formation energy is -308 meV per atom. The value obtained for the density of states at the Fermi level is 3.0 states/eV/cell. As for the crystal system: tetragonal.

=====

# NaTb2Pm

An optimized crystal structure of NaTb2Pm (PBE, Alexandria via LeMat-Bulk).

The structure in POSCAR format:
```
NaTb2Pm
1.0
3.5627 0.0000 0.0000
0.0000 3.5627 0.0000
0.0000 0.0000 10.6239
Na Tb Pm
1 2 1
Direct
0.0000 0.0000 0.0000 Na
0.5000 0.5000 0.2667 Tb
0.5000 0.5000 0.7333 Tb
0.0000 0.0000 0.5000 Pm
```

The value obtained for the total energy is -3.694 eV per atom. The value obtained for the spin magnetization is 0.00 μB/f.u. The space group is No. 123. The energy above the most stable polymorph in this dataset comes out at 0.0000 eV/atom. The value obtained for the formation energy is 138 meV per atom. The value obtained for the density of states at the Fermi level is 4.9 states/eV/cell. As for the crystal system: tetragonal.

=====

# Sr3AcPt2

An optimized crystal structure of Sr3AcPt2 (PBE, Alexandria via LeMat-Bulk).

The structure in POSCAR format:
```
Sr3AcPt2
1.0
9.0031 -2.3201 0.0000
9.0031 2.3201 0.0000
-6.0924 0.0000 10.9092
Sr Ac Pt
6 2 4
Direct
0.0543 0.0543 0.2410 Sr
0.2261 0.2261 0.6000 Sr
0.3337 0.3337 0.9756 Sr
0.6663 0.6663 0.0244 Sr
0.7739 0.7739 0.4000 Sr
0.9457 0.9457 0.7590 Sr
0.4171 0.4171 0.3317 Ac
0.5829 0.5829 0.6683 Ac
0.1372 0.1372 0.8375 Pt
0.3886 0.3886 0.5604 Pt
0.6114 0.6114 0.4396 Pt
0.8628 0.8628 0.1625 Pt
```

The value obtained for the total energy is -4.265 eV per atom. The value obtained for the spin magnetization is 0.00 μB/f.u. The space group is No. 12. The value obtained for the formation energy is -726 meV per atom. The value obtained for the density of states at the Fermi level is 6.1 states/eV/cell. As for the crystal system: monoclinic.

=====

# Tb2HoEr5

An optimized crystal structure of Tb2HoEr5 (PBE, Alexandria via LeMat-Bulk).

The structure in POSCAR format:
```
Tb2HoEr5
1.0
8.0809 -2.7866 0.0000
8.0809 2.7866 0.0000
-0.0100 0.0000 11.3076
Tb Ho Er
4 2 10
Direct
0.2121 0.2121 0.0812 Tb
0.2123 0.2123 0.4186 Tb
0.7877 0.7877 0.5814 Tb
0.7879 0.7879 0.9188 Tb
0.2274 0.2274 0.7502 Ho
0.7726 0.7726 0.2498 Ho
0.0443 0.0443 0.8873 Er
0.0455 0.0455 0.6117 Er
0.3949 0.3949 0.2501 Er
0.4129 0.4129 0.5794 Er
0.4126 0.4126 0.9217 Er
0.5874 0.5874 0.0783 Er
0.5871 0.5871 0.4206 Er
0.6051 0.6051 0.7499 Er
0.9545 0.9545 0.3883 Er
0.9557 0.9557 0.1127 Er
```

The value obtained for the total energy is -4.441 eV per atom. The value obtained for the spin magnetization is 0.00 μB/f.u. The space group is No. 12. The energy above the most stable polymorph in this dataset comes out at 0.1225 eV/atom. The value obtained for the formation energy is 140 meV per atom. The value obtained for the density of states at the Fermi level is 26.4 states/eV/cell. As for the crystal system: monoclinic.